one:
! Be2Co2Sb PBE relaxed; values from VASP
&SYSTEM
  ibrav = 0, nat = 10, ntyp = 3
/
ATOMIC_SPECIES
Sb 121.76 Sb.upf
Be 9.01 Be.upf
Co 58.93 Co.upf
CELL_PARAMETERS angstrom
6.413 0.000 0.000
0.000 6.413 0.000
0.000 0.000 2.935
ATOMIC_POSITIONS crystal
Sb 0.500 0.500 0.000
Sb 0.000 0.000 0.000
Be 0.371 0.129 0.500
Be 0.629 0.871 0.500
Be 0.871 0.371 0.500
Be 0.129 0.629 0.500
Co 0.148 0.352 0.000
Co 0.648 0.148 0.000
Co 0.852 0.648 0.000
Co 0.352 0.852 0.000
! Crystal system: tetragonal



two:
! Be2Co2Sb PBE relaxed; values from VASP
&SYSTEM
  ibrav = 0, nat = 10, ntyp = 3
/
ATOMIC_SPECIES
Co 58.93 Co.upf
Sb 121.76 Sb.upf
Be 9.01 Be.upf
CELL_PARAMETERS angstrom
6.251 0.000 0.000
0.000 6.251 0.000
0.000 0.000 2.933
ATOMIC_POSITIONS crystal
Co 0.338 0.162 0.500
Co 0.162 0.662 0.500
Co 0.838 0.338 0.500
Co 0.662 0.838 0.500
Sb 0.500 0.500 0.000
Sb 0.000 0.000 0.000
Be 0.617 0.117 0.000
Be 0.383 0.883 0.000
Be 0.117 0.383 0.000
Be 0.883 0.617 0.000
! Crystal system: tetragonal



Computed energies relative to the best structure, in meV per atom: one 40; two 0



one:
! BeCoSbTe2 PBE relaxed; values from VASP
&SYSTEM
  ibrav = 0, nat = 5, ntyp = 4
/
ATOMIC_SPECIES
Te 127.60 Te.upf
Co 58.93 Co.upf
Be 9.01 Be.upf
Sb 121.76 Sb.upf
CELL_PARAMETERS angstrom
-2.237 -3.677 2.433
-1.207 -2.113 -4.304
3.998 -2.396 0.055
ATOMIC_POSITIONS crystal
Te 0.000 0.500 0.000
Te 0.500 0.000 0.000
Co 0.500 0.500 0.500
Be 0.000 0.000 0.000
Sb 0.000 0.000 0.500
! Crystal system: tetragonal



two:
! BeCoSbTe2 PBE relaxed; values from VASP
&SYSTEM
  ibrav = 0, nat = 5, ntyp = 4
/
ATOMIC_SPECIES
Sb 121.76 Sb.upf
Te 127.60 Te.upf
Co 58.93 Co.upf
Be 9.01 Be.upf
CELL_PARAMETERS angstrom
5.181 0.000 0.000
0.000 5.181 0.000
0.000 0.000 4.664
ATOMIC_POSITIONS crystal
Sb 0.000 0.000 0.500
Te 0.500 0.000 0.000
Te 0.000 0.500 0.000
Co 0.000 0.000 0.000
Be 0.500 0.500 0.500
! Crystal system: tetragonal



Computed energies relative to the best structure, in meV per atom: one 154; two 0



one:
! ScBeCo PBE relaxed; values from VASP
&SYSTEM
  ibrav = 0, nat = 3, ntyp = 3
/
ATOMIC_SPECIES
Sc 44.96 Sc.upf
Co 58.93 Co.upf
Be 9.01 Be.upf
CELL_PARAMETERS angstrom
4.979 0.000 -0.001
4.108 2.813 -0.003
0.871 0.273 2.800
ATOMIC_POSITIONS crystal
Sc 0.671 0.671 0.329
Co 0.364 0.364 0.636
Be 0.965 0.965 0.035
! Crystal system: tetragonal



two:
! ScBeCo PBE relaxed; values from VASP
&SYSTEM
  ibrav = 0, nat = 3, ntyp = 3
/
ATOMIC_SPECIES
Co 58.93 Co.upf
Be 9.01 Be.upf
Sc 44.96 Sc.upf
CELL_PARAMETERS angstrom
4.120 0.000 0.000
2.060 3.568 0.000
2.060 1.189 3.364
ATOMIC_POSITIONS crystal
Co 0.500 0.500 0.500
Be 0.000 0.000 0.000
Sc 0.750 0.750 0.750
! Crystal system: cubic



three:
! ScBeCo PBE relaxed; values from VASP
&SYSTEM
  ibrav = 0, nat = 6, ntyp = 3
/
ATOMIC_SPECIES
Co 58.93 Co.upf
Sc 44.96 Sc.upf
Be 9.01 Be.upf
CELL_PARAMETERS angstrom
-0.438 1.790 -4.359
1.680 -4.387 0.574
-4.054 -0.895 2.272
ATOMIC_POSITIONS crystal
Co 0.000 0.500 0.000
Co 0.500 0.500 0.500
Sc 0.750 0.870 0.120
Sc 0.250 0.130 0.880
Be 0.000 0.500 0.500
Be 0.500 0.000 0.500
! Crystal system: orthorhombic



Computed energies relative to the best structure, in meV per atom: one 103; two 1047; three 0



one:
! ScBeCo PBE relaxed; values from VASP
&SYSTEM
  ibrav = 0, nat = 3, ntyp = 3
/
ATOMIC_SPECIES
Co 58.93 Co.upf
Be 9.01 Be.upf
Sc 44.96 Sc.upf
CELL_PARAMETERS angstrom
4.013 0.000 0.000
2.007 3.476 0.000
2.007 1.159 3.277
ATOMIC_POSITIONS crystal
Co 0.750 0.750 0.750
Be 0.500 0.500 0.500
Sc 0.000 0.000 0.000
! Crystal system: cubic



two:
! ScBeCo PBE relaxed; values from VASP
&SYSTEM
  ibrav = 0, nat = 3, ntyp = 3
/
ATOMIC_SPECIES
Sc 44.96 Sc.upf
Co 58.93 Co.upf
Be 9.01 Be.upf
CELL_PARAMETERS angstrom
-1.183 -1.877 3.093
3.694 0.802 -0.443
-0.433 2.862 1.571
ATOMIC_POSITIONS crystal
Sc 0.667 0.333 0.667
Co 0.333 0.667 0.167
Be 0.000 0.000 0.166
! Crystal system: hexagonal



Computed energies relative to the best structure, in meV per atom: one 329; two 0